1.
## AcZrAsO (PBE)

Data for a relaxed AcZrAsO crystal. Values from VASP.

Quantum ESPRESSO input file:
```
&SYSTEM
  ibrav = 0, nat = 8, ntyp = 4
/
ATOMIC_SPECIES
O 16.00 O.upf
As 74.92 As.upf
Ac 227.00 Ac.upf
Zr 91.22 Zr.upf
CELL_PARAMETERS angstrom
4.087 0.000 0.000
0.000 6.547 0.000
0.000 0.000 7.145
ATOMIC_POSITIONS crystal
O 0.500 0.869 0.439
O 0.500 0.131 0.939
As 0.000 0.544 0.774
As 0.000 0.456 0.274
Ac 0.500 0.244 0.559
Ac 0.500 0.756 0.059
Zr 0.000 0.210 0.983
Zr 0.000 0.790 0.483
```

crystal system = orthorhombic
space-group type = Pmc2_1, No. 26
total magnetization = 0.00 Bohr magnetons per cell
raw total energy = -7.33 eV per atom
energy above the lowest structure with this stoichiometry = 251 meV per atom

---

2.
## PrZnAu (PBE)

Data for a relaxed PrZnAu crystal. Values from VASP.

Quantum ESPRESSO input file:
```
&SYSTEM
  ibrav = 0, nat = 6, ntyp = 3
/
ATOMIC_SPECIES
Au 196.97 Au.upf
Pr 140.91 Pr.upf
Zn 65.41 Zn.upf
CELL_PARAMETERS angstrom
-3.448 -0.069 4.795
-4.453 -0.313 -3.868
4.369 -3.673 1.516
ATOMIC_POSITIONS crystal
Au 0.446 0.666 0.780
Au 0.887 0.666 0.220
Pr 0.472 0.972 0.500
Pr 0.030 0.030 0.000
Zn 0.628 0.333 0.294
Zn 0.039 0.333 0.706
```

energy of formation = -636 meV per atom
crystal system = orthorhombic
space-group type = Imm2, No. 44
total magnetization = 0.01 Bohr magnetons per cell
raw total energy = -3.74 eV per atom